No. 1
Entry from OQMD: ZrZnCoAs after structural relaxation (PBE).

a b c (Å): 6.323 6.323 6.323
angles (deg): 90.00 90.00 90.00
Element x y z (fractional)
Zr 0.000 0.000 0.000
Zr 0.000 0.500 0.500
Zr 0.500 0.000 0.500
Zr 0.500 0.500 0.000
Zn 0.250 0.250 0.750
Zn 0.250 0.750 0.250
Zn 0.750 0.250 0.250
Zn 0.750 0.750 0.750
Co 0.250 0.250 0.250
Co 0.250 0.750 0.750
Co 0.750 0.250 0.750
Co 0.750 0.750 0.250
As 0.000 0.000 0.500
As 0.000 0.500 0.000
As 0.500 0.000 0.000
As 0.500 0.500 0.500

Computed properties:
As for the excess energy over the best structure of this formula in the dataset: 13 meV per atom. The total moment comes out at 0.030 μB/cell.


No. 2
Entry from OQMD: Zr5AlPb3 after structural relaxation (PBE).

a b c (Å): 8.843 8.843 5.959
angles (deg): 90.00 90.00 120.00
Element x y z (fractional)
Zr 0.000 0.268 0.250
Zr 0.000 0.732 0.750
Zr 0.268 0.000 0.250
Zr 0.268 0.268 0.750
Zr 0.333 0.667 0.000
Zr 0.333 0.667 0.500
Zr 0.667 0.333 0.000
Zr 0.667 0.333 0.500
Zr 0.732 0.000 0.750
Zr 0.732 0.732 0.250
Al 0.000 0.000 0.000
Al 0.000 0.000 0.500
Pb 0.000 0.386 0.750
Pb 0.000 0.614 0.250
Pb 0.386 0.000 0.750
Pb 0.386 0.386 0.250
Pb 0.614 0.000 0.250
Pb 0.614 0.614 0.750

Computed properties:
The total moment comes out at 0.004 μB/cell. Its total energy is -6.75 eV per atom.


No. 3
Entry from OQMD: Ac2Zn17 after structural relaxation (PBE).

a b c (Å): 6.958 6.958 6.958
angles (deg): 82.92 82.92 82.92
Element x y z (fractional)
Ac 0.163 0.163 0.163
Ac 0.837 0.837 0.837
Zn 0.000 0.500 0.500
Zn 0.153 0.153 0.660
Zn 0.153 0.660 0.153
Zn 0.214 0.500 0.786
Zn 0.214 0.786 0.500
Zn 0.340 0.847 0.847
Zn 0.403 0.403 0.403
Zn 0.500 0.000 0.500
Zn 0.500 0.214 0.786
Zn 0.500 0.500 0.000
Zn 0.500 0.786 0.214
Zn 0.597 0.597 0.597
Zn 0.660 0.153 0.153
Zn 0.786 0.214 0.500
Zn 0.786 0.500 0.214
Zn 0.847 0.340 0.847
Zn 0.847 0.847 0.340

Computed properties:
The calculation puts the formation enthalpy at 0 K at -424.7 kJ/mol of formula units. The total moment comes out at 0.003 μB/cell.


No. 4
Entry from OQMD: NdPaB after structural relaxation (PBE).

a b c (Å): 6.370 6.370 6.370
angles (deg): 90.00 90.00 90.00
Element x y z (fractional)
Nd 0.000 0.000 0.000
Nd 0.000 0.500 0.500
Nd 0.500 0.000 0.500
Nd 0.500 0.500 0.000
Pa 0.000 0.000 0.500
Pa 0.000 0.500 0.000
Pa 0.500 0.000 0.000
Pa 0.500 0.500 0.500
B 0.250 0.250 0.250
B 0.250 0.750 0.750
B 0.750 0.250 0.750
B 0.750 0.750 0.250

Computed properties:
As for the excess energy over the best structure of this formula in the dataset: 0 meV per atom. The total moment comes out at 0.210 μB/cell.


No. 5
Entry from OQMD: MgAg2Bi after structural relaxation (PBE).

a b c (Å): 6.982 6.982 6.982
angles (deg): 90.00 90.00 90.00
Element x y z (fractional)
Mg 0.000 0.000 0.000
Mg 0.000 0.500 0.500
Mg 0.500 0.000 0.500
Mg 0.500 0.500 0.000
Ag 0.000 0.000 0.500
Ag 0.000 0.500 0.000
Ag 0.250 0.250 0.250
Ag 0.250 0.750 0.750
Ag 0.500 0.000 0.000
Ag 0.500 0.500 0.500
Ag 0.750 0.250 0.750
Ag 0.750 0.750 0.250
Bi 0.250 0.250 0.750
Bi 0.250 0.750 0.250
Bi 0.750 0.250 0.250
Bi 0.750 0.750 0.750

Computed properties:
Its total energy is -2.80 eV per atom.


No. 6
Entry from OQMD: CdGeSO after structural relaxation (PBE).

a b c (Å): 4.142 4.142 9.036
angles (deg): 90.00 90.00 90.00
Element x y z (fractional)
Cd 0.250 0.250 0.080
Cd 0.750 0.750 0.920
Ge 0.250 0.250 0.642
Ge 0.750 0.750 0.358
S 0.250 0.250 0.379
S 0.750 0.750 0.621
O 0.250 0.750 0.000
O 0.750 0.250 0.000

Computed properties:
As for the excess energy over the best structure of this formula in the dataset: 356 meV per atom.


No. 7
Entry from OQMD: FePbC2 after structural relaxation (PBE).

a b c (Å): 5.637 5.635 7.469
angles (deg): 90.00 103.78 90.00
Element x y z (fractional)
Fe 0.000 0.083 0.000
Fe 0.000 0.917 0.500
Fe 0.500 0.417 0.500
Fe 0.500 0.583 0.000
Pb 0.073 0.403 0.681
Pb 0.073 0.597 0.181
Pb 0.573 0.097 0.181
Pb 0.573 0.903 0.681
C 0.088 0.074 0.273
C 0.088 0.926 0.773
C 0.239 0.183 0.414
C 0.239 0.817 0.914
C 0.588 0.426 0.773
C 0.588 0.574 0.273
C 0.739 0.317 0.914
C 0.739 0.683 0.414

Computed properties:
The total moment comes out at 8.435 μB/cell. Its total energy is -6.80 eV per atom.


No. 8
Entry from OQMD: SmTlAs after structural relaxation (PBE).

a b c (Å): 7.110 7.110 7.110
angles (deg): 90.00 90.00 90.00
Element x y z (fractional)
Sm 0.000 0.000 0.000
Sm 0.000 0.500 0.500
Sm 0.500 0.000 0.500
Sm 0.500 0.500 0.000
Tl 0.250 0.250 0.250
Tl 0.250 0.750 0.750
Tl 0.750 0.250 0.750
Tl 0.750 0.750 0.250
As 0.250 0.250 0.750
As 0.250 0.750 0.250
As 0.750 0.250 0.250
As 0.750 0.750 0.750

Computed properties:
As for the excess energy over the best structure of this formula in the dataset: 0 meV per atom. The total moment comes out at 0.006 μB/cell.